This record from Alexandria via LeMat-Bulk describes a relaxed structure of Hg2Pd8Pt. The functional is GGA-PBE.

Formation energy: -0.070 eV/atom
Relative energy among the computed polymorphs: 0 meV per atom
Space group: C2/m, No. 12

Unit cell a=7.532 b=7.532 c=6.291 alpha=104.23 beta=104.23 gamma=31.36
Positions (direct):
Hg1 0.139 0.139 0.184
Hg2 0.861 0.861 0.816
Pd1 0.045 0.045 0.725
Pd2 0.225 0.225 0.638
Pd3 0.321 0.321 0.097
Pd4 0.411 0.411 0.544
Pd5 0.589 0.589 0.456
Pd6 0.679 0.679 0.903
Pd7 0.775 0.775 0.362
Pd8 0.955 0.955 0.275
Pt1 0.500 0.500 0.000



This record from Alexandria via LeMat-Bulk describes a relaxed structure of HfV2Ni2. The functional is GGA-PBE.

Formation energy: -0.002 eV/atom
Relative energy among the computed polymorphs: 76 meV per atom
Space group: P4/mbm, No. 127

Unit cell a=7.315 b=7.315 c=2.617 alpha=90.00 beta=90.00 gamma=90.00
Positions (direct):
Hf1 0.000 0.000 0.000
Hf2 0.500 0.500 0.000
V1 0.116 0.384 0.000
V2 0.384 0.884 0.000
V3 0.616 0.116 0.000
V4 0.884 0.616 0.000
Ni1 0.180 0.680 0.500
Ni2 0.320 0.180 0.500
Ni3 0.680 0.820 0.500
Ni4 0.820 0.320 0.500



This record from Alexandria via LeMat-Bulk describes a relaxed structure of Ce4Sb2SeS. The functional is GGA-PBE.

Space group: Imma, No. 74
Total DFT energy (no corrections): -51.2 eV per formula unit

Unit cell a=8.617 b=8.617 c=8.617 alpha=120.15 beta=119.85 gamma=90.00
Positions (direct):
Ce1 0.260 0.249 0.488
Ce2 0.260 0.772 0.012
Ce3 0.264 0.244 0.020
Ce4 0.276 0.756 0.520
Ce5 0.724 0.244 0.480
Ce6 0.736 0.756 0.980
Ce7 0.740 0.228 0.988
Ce8 0.740 0.751 0.512
Sb1 0.000 0.000 0.500
Sb2 0.000 0.500 0.000
Sb3 0.000 0.500 0.500
Sb4 0.500 0.500 0.000
Se1 0.000 0.000 0.000
Se2 0.500 0.000 0.500
S1 0.500 0.000 0.000
S2 0.500 0.500 0.500



This record from Alexandria via LeMat-Bulk describes a relaxed structure of TeAs2Ir. The functional is GGA-PBE.

Space group: P4/mmm, No. 123
Total DFT energy (no corrections): -18.9 eV per formula unit

Unit cell a=4.836 b=4.836 c=3.231 alpha=90.00 beta=90.00 gamma=90.00
Positions (direct):
Te1 0.000 0.000 0.000
As1 0.000 0.500 0.500
As2 0.500 0.000 0.500
Ir1 0.500 0.500 0.000